# 1
BeCu3I: relaxed, PBE.

ΔE_f (raw)   1.49 eV per atom
VASP energy   -2.027 eV/atom

Cell: 4.965 4.965 4.965 Å, 90.00 90.00 90.00°
Space group Pm-3m (No. 221)
One atom of each set of equivalent atoms:
Be  0.000  0.000  0.000 x1
Cu  0.000  0.500  0.500 x3
I  0.500  0.500  0.500 x1



# 2
ZnAgPd2: relaxed, PBE.

Formation energy from the elements   -0.282 eV/atom
VASP energy   -3.910 eV/atom

Cell: 4.250 4.250 3.455 Å, 90.00 90.00 90.00°
Space group P4/mmm (No. 123)
One atom of each set of equivalent atoms:
Zn  0.000  0.000  0.000 x1
Ag  0.500  0.500  0.000 x1
Pd  0.000  0.500  0.500 x2



# 3
SnW2Au2: relaxed, PBE.

Formation energy from the elements   0.721 eV/atom
VASP energy   -6.572 eV/atom

Cell: 3.816 3.816 13.371 Å, 90.00 90.00 90.00°
Space group I4/mmm (No. 139)
One atom of each set of equivalent atoms:
Sn  0.000  0.000  0.000 x2
W  0.000  0.000  0.408 x4
Au  0.000  0.500  0.250 x4



- Look up the VASP energy of the first one.
  -2.027 eV/atom



- Which of these has the lowest VASP energy?
  SnW2Au2



Copy entry 2 word for word.
ZnAgPd2: relaxed, PBE.

Formation energy from the elements   -0.282 eV/atom
VASP energy   -3.910 eV/atom

Cell: 4.250 4.250 3.455 Å, 90.00 90.00 90.00°
Space group P4/mmm (No. 123)
One atom of each set of equivalent atoms:
Zn  0.000  0.000  0.000 x1
Ag  0.500  0.500  0.000 x1
Pd  0.000  0.500  0.500 x2



- The lowest VASP energy belongs to which entry?
  SnW2Au2